No. 1
## LaTbSbI2 (GGA-PBE)

Data for an optimized crystal structure of LaTbSbI2.

Values from the calculation:
The total energy comes out at -4.7047 eV per atom. The space group is P3m1 (156).

extended XYZ file:
```
5
Lattice="4.4583 0.0000 0.0000 -2.2291 3.8610 0.0000 0.0000 0.0000 11.5007" Properties=species:S:1:pos:R:3 pbc="T T T"
I 2.2291 1.2870 3.8127
I 0.0000 0.0000 7.8276
La 0.0000 0.0000 1.7427
Sb 0.0000 2.5740 11.3802
Tb 2.2291 1.2870 9.7388
```

=====

No. 2
## La4TcI5 (GGA-PBE)

Data for an optimized crystal structure of La4TcI5.

Values from the calculation:
The total energy comes out at -4.9056 eV per atom. The space group is C2/m (12).

extended XYZ file:
```
10
Lattice="9.9670 -2.1974 0.0000 9.9670 2.1974 0.0000 -2.2834 0.0000 9.2221" Properties=species:S:1:pos:R:3 pbc="T T T"
I 16.1394 0.0000 1.5365
I 2.5964 0.0000 3.1034
I 8.8253 0.0000 4.6111
I 15.0542 0.0000 6.1187
I 1.5111 0.0000 7.6857
La 12.5446 0.0000 0.6552
La -0.4803 0.0000 1.9836
La 18.1309 0.0000 7.2386
La 5.1060 0.0000 8.5670
Tc 9.9670 0.0000 0.0000
```

=====

No. 3
## Li6NiI8 (GGA-PBE)

Data for an optimized crystal structure of Li6NiI8.

Values from the calculation:
The total energy comes out at -2.9094 eV per atom. The space group is Fm-3m (225).

extended XYZ file:
```
15
Lattice="-3.4237 -5.6048 5.1018 -7.5596 -3.0507 -1.6461 -0.8507 -7.8964 -2.4674" Properties=species:S:1:pos:R:3 pbc="T T T"
I -4.6057 -6.8712 2.9174
I -6.7809 -5.5279 -0.6315
I -8.5815 -8.4756 2.0517
I -2.9585 -4.1380 0.2471
I -8.8755 -12.4139 0.7413
I -3.2525 -8.0763 -1.0634
I -5.0531 -11.0240 1.6198
I -7.2283 -9.6808 -1.9291
Li -1.7118 -2.8024 2.5509
Li -3.7798 -1.5254 -0.8231
Li -5.4916 -4.3278 1.7279
Li -0.4253 -3.9482 -1.2337
Li -2.1372 -6.7506 1.3172
Li -4.2051 -5.4735 -2.0567
Ni 0.0000 0.0000 0.0000
```

=====

No. 4
## LiZnIO4 (GGA-PBE)

Data for an optimized crystal structure of LiZnIO4.

Values from the calculation:
The total energy comes out at -4.4632 eV per atom. The space group is Ama2 (40).

extended XYZ file:
```
14
Lattice="-2.2251 3.6147 4.7001 5.2256 0.3893 2.1745 -1.7151 3.8639 -3.7836" Properties=species:S:1:pos:R:3 pbc="T T T"
I 1.9599 1.4099 1.9769
I -2.1223 4.7039 1.7777
Li -0.2571 2.9450 4.0135
Li -0.8692 2.0010 0.1829
O 3.2941 1.5504 0.6723
O 2.3407 3.0992 2.6862
O 0.8454 2.3978 0.6895
O -0.5056 4.3245 2.8349
O -0.9330 4.9170 0.3487
O -1.8864 6.4658 2.3626
O 1.7062 5.9496 2.6322
O 1.8253 4.6397 -0.5707
Zn 2.1934 2.6574 -1.0054
Zn 1.0808 4.4648 1.3447
```

=====

No. 5
## LiPm2I2 (GGA-PBE)

Data for an optimized crystal structure of LiPm2I2.

Values from the calculation:
The total energy comes out at -3.1565 eV per atom. The space group is P6_3/mmc (194).

extended XYZ file:
```
10
Lattice="5.2948 0.0000 0.0000 -2.6474 4.5854 0.0000 0.0000 0.0000 12.2942" Properties=species:S:1:pos:R:3 pbc="T T T"
I 2.6474 1.5285 1.2358
I 2.6474 1.5285 4.9112
I 0.0000 3.0569 7.3829
I 0.0000 3.0569 11.0584
Li 0.0000 0.0000 3.0735
Li 0.0000 0.0000 9.2206
Pm 0.0000 0.0000 0.0000
Pm 0.0000 3.0569 3.0735
Pm 0.0000 0.0000 6.1471
Pm 2.6474 1.5285 9.2206
```

=====

No. 6
## Rb2LiZnI6 (GGA-PBE)

Data for an optimized crystal structure of Rb2LiZnI6.

Values from the calculation:
The total energy comes out at -2.3273 eV per atom. The space group is Fm-3m (225).

extended XYZ file:
```
10
Lattice="-4.0873 4.0873 5.7821 4.0873 -4.0873 5.7821 4.0873 4.0873 -5.7821" Properties=species:S:1:pos:R:3 pbc="T T T"
I 0.0000 0.0000 2.8451
I 0.0000 0.0000 8.7192
I 2.0798 -2.0741 5.7821
I 2.0132 2.0075 0.0000
I 2.0741 2.0798 5.7821
I 2.0075 6.1614 0.0000
Li 0.0000 0.0000 5.7821
Rb 0.0000 4.0873 2.8911
Rb 4.0873 0.0000 2.8911
Zn 0.0000 0.0000 0.0000
```

=====

No. 7
## LiTbI (GGA-PBE)

Data for an optimized crystal structure of LiTbI.

Values from the calculation:
The total energy comes out at -3.0450 eV per atom. The space group is R-3m (166).

extended XYZ file:
```
6
Lattice="2.1689 1.2522 11.9189 -2.1689 1.2522 11.9189 0.0000 -2.5044 11.9189" Properties=species:S:1:pos:R:3 pbc="T T T"
I 0.0000 0.0000 10.2329
I 0.0000 0.0000 25.5237
Li 0.0000 0.0000 13.9059
Li 0.0000 0.0000 21.8506
Tb 0.0000 0.0000 4.6913
Tb 0.0000 0.0000 31.0652
```

=====

No. 8
## Li6TmI8 (GGA-PBE)

Data for an optimized crystal structure of Li6TmI8.

Values from the calculation:
The total energy comes out at -3.0028 eV per atom. The space group is Fm-3m (225).

extended XYZ file:
```
15
Lattice="0.0000 5.9791 5.9791 5.9791 0.0000 5.9791 5.9791 5.9791 0.0000" Properties=species:S:1:pos:R:3 pbc="T T T"
I 2.9896 2.9896 2.9896
I 3.0410 5.9791 5.9791
I 5.9791 3.0410 5.9791
I 5.9791 5.9791 8.9173
I 5.9791 5.9791 3.0410
I 8.9173 5.9791 5.9791
I 5.9791 8.9173 5.9791
I 8.9687 8.9687 8.9687
Li 0.0000 2.9896 2.9896
Li 2.9896 0.0000 2.9896
Li 2.9896 2.9896 5.9791
Li 2.9896 2.9896 0.0000
Li 2.9896 5.9791 2.9896
Li 5.9791 2.9896 2.9896
Tm 0.0000 0.0000 0.0000
```

=====

No. 9
## Li2UI6 (GGA-PBE)

Data for an optimized crystal structure of Li2UI6.

Values from the calculation:
The total energy comes out at -3.7058 eV per atom. The space group is C2/c (15).

extended XYZ file:
```
18
Lattice="-3.4872 -1.7241 -6.3236 7.1362 -1.8092 0.9087 -3.8544 -12.6029 5.5914" Properties=species:S:1:pos:R:3 pbc="T T T"
I -1.6089 -3.9607 -5.2947
I -1.6504 -2.2105 -1.3779
I 1.9373 -3.9929 -2.8884
I 3.3797 -7.6265 -1.2411
I -0.2229 -5.8405 0.2675
I -0.1565 -7.5973 -3.6460
I -0.0489 -8.5390 3.8225
I 0.0175 -10.2958 -0.0910
I -3.5851 -8.5098 1.4176
I -2.1427 -12.1434 3.0649
I 1.4450 -13.9258 1.5545
I 1.4035 -12.1755 5.4713
Li -0.9097 -4.9013 -2.5108
Li -0.9636 -3.1526 1.3937
Li 0.7043 -11.2349 2.6873
Li 0.7581 -12.9837 -1.2172
U 2.6315 -4.9316 -0.1043
U -2.8369 -11.2046 0.2808
```

=====

No. 10
## Li6ZnI8 (GGA-PBE)

Data for an optimized crystal structure of Li6ZnI8.

Values from the calculation:
The total energy comes out at -2.7084 eV per atom. The space group is Fm-3m (225).

extended XYZ file:
```
15
Lattice="2.5562 1.6781 7.8071 -3.6356 6.1650 4.3676 -4.9477 -1.8326 6.5163" Properties=species:S:1:pos:R:3 pbc="T T T"
I -0.1497 2.3228 8.5545
I -1.5068 1.5026 4.6727
I -4.5203 4.5078 14.0182
I -5.8774 3.6876 10.1365
I -2.6937 1.3805 11.9050
I -4.0081 0.5177 7.8908
Li 1.2781 0.8390 3.9035
Li -1.8178 3.0825 2.1838
Li -0.5397 3.9215 6.0873
Li -2.4739 -0.9163 3.2581
Li -1.1958 -0.0773 7.1617
Li -4.2917 2.1662 5.4420
Zn 0.0000 0.0000 0.0000
I -3.3334 4.6299 6.7860
I -2.0190 5.4927 10.8002
```

=====

No. 11
## Lu2I (GGA-PBE)

Data for an optimized crystal structure of Lu2I.

Values from the calculation:
The value obtained for the energy above the most stable polymorph in this dataset is 0 meV per atom. The space group is Fd-3m (227).

extended XYZ file:
```
6
Lattice="0.0000 4.6441 4.6441 4.6441 0.0000 4.6441 4.6441 4.6441 0.0000" Properties=species:S:1:pos:R:3 pbc="T T T"
I 0.0000 0.0000 0.0000
I 2.3220 2.3220 2.3220
Lu 3.4830 3.4830 5.8051
Lu 3.4830 5.8051 3.4830
Lu 5.8051 3.4830 3.4830
Lu 5.8051 5.8051 5.8051
```

=====

No. 12
## Lu2I (GGA-PBE)

Data for an optimized crystal structure of Lu2I.

Values from the calculation:
The value obtained for the energy above the most stable polymorph in this dataset is 1273 meV per atom. The space group is Fd-3m (227).

extended XYZ file:
```
6
Lattice="-10.2025 -0.6492 1.3671 -4.8263 -9.0089 -1.3882 -3.8014 -5.1171 8.1083" Properties=species:S:1:pos:R:3 pbc="T T T"
I -4.7075 -3.6938 2.0218
I -9.4151 -7.3876 4.0436
Lu -7.0613 -5.5407 3.0327
Lu -12.1626 -5.8653 3.7162
Lu -9.4745 -10.0452 2.3386
Lu -8.9620 -8.0993 7.0868
```

=====

Record-wise theoretical density values, in g/cm3: 5.6; 5.3; 4.6; 4.9; 6.1; 4.3; 5.0; 4.8; 4.9; 4.5; 7.9; 2.0